(1)
The following is a SCAN calculation of a crystal of Li2Mg relaxed with PBEsol, from Alexandria.

Values from the calculation:
The formation energy is -0.04 eV/atom. Its total moment is 0.03 μB/cell.

a b c (Å): 5.2656 5.2656 5.8769
angles (deg): 63.38 63.38 60.00
Sites, in units of the cell vectors:
Mg 0.1667 0.1667 0.4999
Mg 0.8333 0.8333 0.5001
Li 0.6668 0.0000 0.0000
Li 0.0000 0.3332 0.0000
Li 0.3332 0.6668 0.0000
Li 0.5000 0.5000 0.5000



(2)
The following is a SCAN calculation of a crystal of Sr2SeCl relaxed with PBEsol, from Alexandria.

Values from the calculation:
The calculation puts the total energy at -20.089 eV/atom. Its total moment is 0.92 μB/cell.

a b c (Å): 3.9701 4.0983 7.7223
angles (deg): 105.39 104.90 90.00
Each line ends with the local moment (μB).
Sites, in units of the cell vectors:
Se 0.7023 0.2023 0.4046  0.01
Sr 0.2917 0.7917 0.5835  0.12
Sr 0.0433 0.0433 0.0865  0.11
Cl 0.4627 0.4627 0.9254  0.01



(3)
The following is a SCAN calculation of a crystal of NaSiSe2N relaxed with PBEsol, from Alexandria.

Values from the calculation:
The calculation puts the total energy at -11.400 eV/atom. Its total moment is 3.96 μB/cell.

a b c (Å): 4.1861 5.0826 5.0826
angles (deg): 90.00 90.00 90.00
Each line ends with the local moment (μB).
Sites, in units of the cell vectors:
Si 0.5000 0.5000 0.5000  -0.03
Se 0.0000 0.0000 0.5000  0.49
Se 0.0000 0.5000 0.0000  0.49
N 0.5000 0.0000 0.0000  1.78
Na 0.0000 0.0000 0.0000  0.03



(4)
The following is a SCAN calculation of a crystal of CdSiPt2 relaxed with PBEsol, from Alexandria.

Values from the calculation:
The calculation puts the total energy at -45.403 eV/atom. Its total moment is 0.00 μB/cell.

a b c (Å): 4.0372 4.0372 4.7522
angles (deg): 115.14 115.14 90.00
Sites, in units of the cell vectors:
Pt 0.2500 0.7500 0.5000
Pt 0.7500 0.2500 0.5000
Si 0.5000 0.5000 0.0000
Cd 0.0000 0.0000 0.0000



(5)
The following is a SCAN calculation of a crystal of AlAgOs2 relaxed with PBEsol, from Alexandria.

Values from the calculation:
The formation energy is 0.37 eV/atom. Its total moment is 0.00 μB/cell.

a b c (Å): 2.7310 4.7136 5.2869
angles (deg): 115.43 103.29 93.64
Sites, in units of the cell vectors:
Os 0.0000 0.0000 0.5000
Os 0.5000 0.5000 0.5000
Al 0.0000 0.5000 0.0000
Ag 0.5000 0.0000 0.0000



(6)
The following is a SCAN calculation of a crystal of Ca2LaAl relaxed with PBEsol, from Alexandria.

Values from the calculation:
The formation energy is 0.02 eV/atom. Its total moment is 0.00 μB/cell.

a b c (Å): 3.5102 5.0111 6.8625
angles (deg): 90.00 90.00 90.00
Sites, in units of the cell vectors:
La 0.5000 0.5000 0.0000
Al 0.5000 0.5000 0.5000
Ca 0.0000 0.0000 0.2729
Ca 0.0000 0.0000 0.7271



(7)
The following is a SCAN calculation of a crystal of CdHg relaxed with PBEsol, from Alexandria.

Values from the calculation:
The formation energy is 0.01 eV/atom. Its total moment is 0.00 μB/cell.

a b c (Å): 3.4219 4.7163 5.7984
angles (deg): 90.00 107.16 90.00
Sites, in units of the cell vectors:
Cd 0.4129 0.2500 0.8257
Cd 0.5871 0.7500 0.1743
Hg 0.8486 0.7500 0.6973
Hg 0.1514 0.2500 0.3027



(8)
The following is a SCAN calculation of a crystal of YBe2P relaxed with PBEsol, from Alexandria.

Values from the calculation:
The formation energy is -0.40 eV/atom. Its total moment is 0.56 μB/cell.

a b c (Å): 3.4844 3.4844 5.0715
angles (deg): 90.00 90.00 90.00
Each line ends with the local moment (μB).
Sites, in units of the cell vectors:
Y 0.5000 0.5000 0.6881  0.18
P 0.0000 0.0000 0.4441  0.00
Be 0.5000 0.0000 0.1821  0.06
Be 0.0000 0.5000 0.1821  0.06